Compound: CaGaFeO4
Source: Alexandria
Functional: PBE+U
Structure: relaxed

ρ in g cm⁻³: 4.06
DFT total energy in eV per atom: -6.390

Cell: 6.1762 9.3996 6.4716 Å, 90.00 90.00 90.00°
Space group Cmcm (No. 63)
Inequivalent atoms, fractional coordinates:
Ca 0.0000 0.0000 0.0000 (multiplicity 4)
Ga 0.0000 0.3539 0.2500 (multiplicity 4)
Fe 0.0000 0.3539 0.7500 (multiplicity 4)
O 0.0000 0.2523 0.0043 (multiplicity 8)
O 0.2213 0.4978 0.2500 (multiplicity 8)